Material: Ce4CoRh12
Method: DFT, PBE
State: relaxed

Unit cell a=7.207 b=7.207 c=7.207 alpha=109.47 beta=109.47 gamma=109.47
Fractional positions:
Ce  0.000  0.000  0.500
Ce  0.000  0.500  0.000
Ce  0.500  0.000  0.000
Ce  0.500  0.500  0.500
Co  0.000  0.000  0.000
Rh  0.000  0.286  0.286
Rh  0.000  0.714  0.714
Rh  0.250  0.500  0.750
Rh  0.250  0.750  0.500
Rh  0.286  0.000  0.286
Rh  0.286  0.286  0.000
Rh  0.500  0.250  0.750
Rh  0.500  0.750  0.250
Rh  0.714  0.000  0.714
Rh  0.714  0.714  0.000
Rh  0.750  0.250  0.500
Rh  0.750  0.500  0.250

Results
The value obtained for the magnetic moment is 0.21 μB/atom. The value obtained for the total energy is -7.53 eV per atom. The formation energy comes out at -0.5251 eV/atom. The value obtained for the volume is 288 Å³/cell.